[1]
LiCa2Ni4As3 | PBE | optimized geometry

Summary:
Magnetization, μB/cell: 0.0
Space group: P-4m2 (115)
E_form, meV per atom: -643

Lattice parameters (Å, degrees): 4.0785 4.0785 9.6765 90.00 90.00 90.00
With the nearest neighbours (Å) after each atom.
Fractional positions:
Li 0.0000 0.0000 0.0000  4 Ni 2.39
Ca 0.0000 0.5000 0.7479  6 As 3.09-3.18, 8 Ni 3.12-3.15, 2 Li 3.18
Ca 0.5000 0.0000 0.2521  6 As 3.09-3.18, 8 Ni 3.12-3.15, 2 Li 3.18
Ni 0.0000 0.0000 0.5000  4 As 2.41
Ni 0.0000 0.5000 0.1283  3 As 2.31-2.39, 2 Li 2.39
Ni 0.5000 0.0000 0.8717  3 As 2.31-2.39, 2 Li 2.39
Ni 0.5000 0.5000 0.5000  4 As 2.41
As 0.0000 0.5000 0.3672  5 Ni 2.31-2.41
As 0.5000 0.0000 0.6328  5 Ni 2.31-2.41
As 0.5000 0.5000 0.0000  4 Ni 2.39



[2]
Ac2SiI | PBE | optimized geometry

Summary:
Uncorrected formation energy, meV/atom: -880
Magnetization, μB/cell: 0.0
Space group: P-3m1 (164)

Lattice parameters (Å, degrees): 4.5054 4.5054 8.5138 90.00 90.00 120.00
With the nearest neighbours (Å) after each atom.
Fractional positions:
Ac 0.3333 0.6667 0.1974  3 Si 3.10
Ac 0.6667 0.3333 0.8026  3 Si 3.10
Si 0.0000 0.0000 0.0000  6 Ac 3.10
I 0.0000 0.0000 0.5000  6 Ac 3.66



[3]
SbPRuS2 | PBE | optimized geometry

Summary:
Uncorrected formation energy, meV/atom: 1387
Magnetization, μB/cell: 3.4
Space group: P4/mmm (123)

Lattice parameters (Å, degrees): 4.8554 4.8554 4.9823 90.00 90.00 90.00
With the nearest neighbours (Å) after each atom.
Fractional positions:
Sb 0.0000 0.0000 0.0000  4 S 2.43, 2 P 2.49
P 0.0000 0.0000 0.5000  2 Sb 2.49
Ru 0.5000 0.5000 0.5000  4 P 3.43, 8 S 3.48
S 0.0000 0.5000 0.0000  2 Sb 2.43
S 0.5000 0.0000 0.0000  2 Sb 2.43



[4]
Tb5Pm6Sc2 | PBE | optimized geometry

Summary:
Magnetization, μB/cell: 0.0
Space group: Pbam (55)
E_form, meV per atom: 62

Lattice parameters (Å, degrees): 11.4514 20.4312 3.5883 90.00 90.00 90.00
With the nearest neighbours (Å) after each atom.
Fractional positions:
Tb 0.0000 0.0000 0.0000  6 Pm 3.31-3.57, 2 Tb 3.59
Tb 0.0573 0.4212 0.0000  2 Sc 3.33, 4 Tb 3.48-3.73, 4 Pm 3.65-3.70
Tb 0.1464 0.7210 0.0000  4 Pm 3.40-3.76, 4 Sc 3.47-3.56, 3 Tb 3.59-3.73
Tb 0.3536 0.2210 0.0000  4 Pm 3.40-3.76, 4 Sc 3.47-3.56, 3 Tb 3.59-3.73
Tb 0.4427 0.9212 0.0000  2 Sc 3.33, 4 Tb 3.48-3.73, 4 Pm 3.65-3.70
Tb 0.5000 0.5000 0.0000  6 Pm 3.31-3.57, 2 Tb 3.59
Tb 0.5573 0.0788 0.0000  2 Sc 3.33, 4 Tb 3.48-3.73, 4 Pm 3.65-3.70
Tb 0.6464 0.7790 0.0000  4 Pm 3.40-3.76, 4 Sc 3.47-3.56, 3 Tb 3.59-3.73
Tb 0.8536 0.2790 0.0000  4 Pm 3.40-3.76, 4 Sc 3.47-3.56, 3 Tb 3.59-3.73
Tb 0.9427 0.5788 0.0000  2 Sc 3.33, 4 Tb 3.48-3.73, 4 Pm 3.65-3.70
Pm 0.0803 0.1554 0.0000  2 Sc 3.26, 3 Tb 3.31-3.62, 6 Pm 3.46-3.59
Pm 0.1692 0.8823 0.5000  1 Sc 3.17, 2 Pm 3.46
Pm 0.2170 0.5543 0.5000  5 Pm 3.59-3.75, 8 Tb 3.65-3.93
Pm 0.2830 0.0543 0.5000  5 Pm 3.59-3.75, 8 Tb 3.65-3.93
Pm 0.3308 0.3823 0.5000  1 Sc 3.17, 2 Pm 3.46
Pm 0.4197 0.6554 0.0000  2 Sc 3.26, 3 Tb 3.31-3.62, 6 Pm 3.46-3.59
Pm 0.5803 0.3446 0.0000  2 Sc 3.26, 3 Tb 3.31-3.62, 6 Pm 3.46-3.59
Pm 0.6692 0.6177 0.5000  1 Sc 3.17, 2 Pm 3.46
Pm 0.7170 0.9457 0.5000  5 Pm 3.59-3.75, 8 Tb 3.65-3.93
Pm 0.7830 0.4457 0.5000  5 Pm 3.59-3.75, 8 Tb 3.65-3.93
Pm 0.8308 0.1177 0.5000  1 Sc 3.17, 2 Pm 3.46
Pm 0.9197 0.8446 0.0000  2 Sc 3.26, 3 Tb 3.31-3.62, 6 Pm 3.46-3.59
Sc 0.1121 0.2874 0.5000  3 Pm 3.17-3.26, 4 Tb 3.33-3.47
Sc 0.3879 0.7874 0.5000  3 Pm 3.17-3.26, 4 Tb 3.33-3.47
Sc 0.6121 0.2126 0.5000  3 Pm 3.17-3.26, 4 Tb 3.33-3.47
Sc 0.8879 0.7126 0.5000  3 Pm 3.17-3.26, 4 Tb 3.33-3.47



[5]
CrMoC3 | PBE | optimized geometry

Summary:
Magnetization, μB/cell: 1.9
Space group: Pm-3m (221)
E_form, meV per atom: 1844

Lattice parameters (Å, degrees): 3.7465 3.7465 3.7465 90.00 90.00 90.00
With the nearest neighbours (Å) after each atom.
Fractional positions:
Cr 0.0000 0.0000 0.0000  6 C 1.87
Mo 0.5000 0.5000 0.5000  12 C 2.65
C 0.0000 0.0000 0.5000  2 Cr 1.87
C 0.0000 0.5000 0.0000  2 Cr 1.87
C 0.5000 0.0000 0.0000  2 Cr 1.87



[6]
Ac2Ga4NiIr3 | PBE | optimized geometry

Summary:
Magnetization, μB/cell: 0.0
Space group: P-4m2 (115)
E_form, meV per atom: -647

Lattice parameters (Å, degrees): 4.3583 4.3583 10.4351 90.00 90.00 90.00
With the nearest neighbours (Å) after each atom.
Fractional positions:
Ac 0.0000 0.5000 0.2436  6 Ir 3.34-3.35, 8 Ga 3.35-3.45, 2 Ni 3.35
Ac 0.5000 0.0000 0.7564  6 Ir 3.34-3.35, 8 Ga 3.35-3.45, 2 Ni 3.35
Ga 0.0000 0.0000 0.5000  4 Ir 2.58
Ga 0.0000 0.5000 0.8816  2 Ni 2.50, 3 Ir 2.50-2.60
Ga 0.5000 0.0000 0.1184  2 Ni 2.50, 3 Ir 2.50-2.60
Ga 0.5000 0.5000 0.5000  4 Ir 2.58
Ni 0.5000 0.5000 0.0000  4 Ga 2.50
Ir 0.0000 0.0000 0.0000  4 Ga 2.50
Ir 0.0000 0.5000 0.6328  5 Ga 2.58-2.60
Ir 0.5000 0.0000 0.3672  5 Ga 2.58-2.60



[7]
RbHf2AgH | PBE | optimized geometry

Summary:
DFT total energy, eV for the cell shown: -12.9
Magnetization, μB/cell: 0.0
Space group: P4/mmm (123)

Lattice parameters (Å, degrees): 5.3316 5.3316 5.3894 90.00 90.00 90.00
With the nearest neighbours (Å) after each atom.
Fractional positions:
Rb 0.0000 0.0000 0.0000  4 Hf 2.67, 2 Ag 2.69
Hf 0.0000 0.5000 0.0000  2 Rb 2.67
Hf 0.5000 0.0000 0.0000  2 Rb 2.67
Ag 0.0000 0.0000 0.5000  2 Rb 2.69
H 0.5000 0.5000 0.5000  4 Ag 3.77, 8 Hf 3.79



[8]
Er3Os | PBE | optimized geometry

Summary:
Magnetization, μB/cell: 0.0
Space group: P4_2/n (86)
E_form, meV per atom: -211

Lattice parameters (Å, degrees): 11.5697 11.5697 6.0413 90.00 90.00 90.00
With the nearest neighbours (Å) after each atom.
Fractional positions:
Er 0.0314 0.5848 0.2135  3 Os 2.82-3.10
Er 0.0848 0.9686 0.7135  3 Os 2.82-3.10
Er 0.1173 0.2023 0.0173  3 Os 2.88-3.10
Er 0.1241 0.6646 0.7034  2 Os 2.91-2.98
Er 0.1646 0.8759 0.2034  2 Os 2.91-2.98
Er 0.2023 0.3827 0.4827  3 Os 2.88-3.10
Er 0.2977 0.1173 0.4827  3 Os 2.88-3.10
Er 0.3354 0.6241 0.2034  2 Os 2.91-2.98
Er 0.3759 0.8354 0.7034  2 Os 2.91-2.98
Er 0.3827 0.2977 0.0173  3 Os 2.88-3.10
Er 0.4152 0.5314 0.7135  3 Os 2.82-3.10
Er 0.4686 0.9152 0.2135  3 Os 2.82-3.10
Er 0.5314 0.0848 0.7865  3 Os 2.82-3.10
Er 0.5848 0.4686 0.2865  3 Os 2.82-3.10
Er 0.6173 0.7023 0.9827  3 Os 2.88-3.10
Er 0.6241 0.1646 0.2966  2 Os 2.91-2.98
Er 0.6646 0.3759 0.7966  2 Os 2.91-2.98
Er 0.7023 0.8827 0.5173  3 Os 2.88-3.10
Er 0.7977 0.6173 0.5173  3 Os 2.88-3.10
Er 0.8354 0.1241 0.7966  2 Os 2.91-2.98
Er 0.8759 0.3354 0.2966  2 Os 2.91-2.98
Er 0.8827 0.7977 0.9827  3 Os 2.88-3.10
Er 0.9152 0.0314 0.2865  3 Os 2.82-3.10
Er 0.9686 0.4152 0.7865  3 Os 2.82-3.10
Os 0.0426 0.1941 0.5346  8 Er 2.82-3.10
Os 0.1941 0.4574 0.9654  8 Er 2.82-3.10
Os 0.3059 0.0426 0.9654  8 Er 2.82-3.10
Os 0.4574 0.3059 0.5346  8 Er 2.82-3.10
Os 0.5426 0.6941 0.4654  8 Er 2.82-3.10
Os 0.6941 0.9574 0.0346  8 Er 2.82-3.10
Os 0.8059 0.5426 0.0346  8 Er 2.82-3.10
Os 0.9574 0.8059 0.4654  8 Er 2.82-3.10



[9]
MoOs2Rh | PBE | optimized geometry

Summary:
Magnetization, μB/cell: 0.0
Space group: P4/mmm (123)
E_form, meV per atom: 342

Lattice parameters (Å, degrees): 3.2616 3.2616 5.6161 90.00 90.00 90.00
With the nearest neighbours (Å) after each atom.
Fractional positions:
Mo 0.0000 0.0000 0.0000  8 Os 2.73, 2 Rh 2.81
Os 0.5000 0.5000 0.2585  4 Rh 2.68, 2 Os 2.71-2.90, 4 Mo 2.73
Os 0.5000 0.5000 0.7415  4 Rh 2.68, 2 Os 2.71-2.90, 4 Mo 2.73
Rh 0.0000 0.0000 0.5000  8 Os 2.68, 2 Mo 2.81



[10]
NaGaAsSe2 | PBE | optimized geometry

Summary:
Uncorrected formation energy, meV/atom: 643
Magnetization, μB/cell: 0.0
Space group: P4/mmm (123)

Lattice parameters (Å, degrees): 5.2427 5.2427 5.0540 90.00 90.00 90.00
With the nearest neighbours (Å) after each atom.
Fractional positions:
Na 0.0000 0.0000 0.0000  2 As 2.53, 4 Se 2.62
Ga 0.5000 0.5000 0.5000  8 Se 3.64, 4 As 3.71
As 0.0000 0.0000 0.5000  2 Na 2.53
Se 0.0000 0.5000 0.0000  2 Na 2.62
Se 0.5000 0.0000 0.0000  2 Na 2.62



[11]
Pr6Zn6Ga | PBE | optimized geometry

Summary:
Magnetization, μB/cell: 1.6
Space group: P6/mmm (191)
E_form, meV per atom: -175

Lattice parameters (Å, degrees): 6.0484 6.0484 10.6111 90.00 90.00 120.00
With the nearest neighbours (Å) after each atom.
Fractional positions:
Pr 0.0000 0.0000 0.1992  6 Zn 3.07, 1 Ga 3.19
Pr 0.0000 0.0000 0.8008  6 Zn 3.07, 1 Ga 3.19
Pr 0.3333 0.6667 0.0000  6 Zn 3.19, 3 Pr 3.49
Pr 0.3333 0.6667 0.5000  6 Zn 3.16, 3 Ga 3.49, 3 Pr 3.49
Pr 0.6667 0.3333 0.0000  6 Zn 3.19, 3 Pr 3.49
Pr 0.6667 0.3333 0.5000  6 Zn 3.16, 3 Ga 3.49, 3 Pr 3.49
Zn 0.0000 0.5000 0.2513  4 Zn 3.02, 6 Pr 3.07-3.19
Zn 0.0000 0.5000 0.7487  4 Zn 3.02, 6 Pr 3.07-3.19
Zn 0.5000 0.0000 0.2513  4 Zn 3.02, 6 Pr 3.07-3.19
Zn 0.5000 0.0000 0.7487  4 Zn 3.02, 6 Pr 3.07-3.19
Zn 0.5000 0.5000 0.2513  4 Zn 3.02, 6 Pr 3.07-3.19
Zn 0.5000 0.5000 0.7487  4 Zn 3.02, 6 Pr 3.07-3.19
Ga 0.0000 0.0000 0.5000  8 Pr 3.19-3.49